First-principles (GGA-PBEsol) data for a relaxed AuBr2Cl crystal, as listed in Alexandria.

```
4
Lattice="3.736 0.000 0.000 -1.868 3.665 0.000 0.000 0.000 7.708" Properties=species:S:1:pos:R:3 pbc="T T T"
Cl 1.868 0.000 3.854
Br 0.000 0.000 6.032
Br 0.000 0.000 1.676
Au 1.868 0.000 0.000
```

Computed properties:
D(E_F) = 0.1 states/eV/f.u.
SG = Cmmm
V = 105.52 Å³ per cell
total DFT energy (no corrections) = -9.8 eV per cell
M_tot = 0.000 μB/f.u.
energy relative to the elements, uncorrected = -27 meV per atom
offset from the most stable computed form = 0 meV per atom

=====

First-principles (GGA-PBEsol) data for a relaxed Cs2AgBr crystal, as listed in Alexandria.

```
4
Lattice="-4.085 1.257 -4.300 0.955 -1.804 -5.709 -3.365 -4.447 -2.377" Properties=species:S:1:pos:R:3 pbc="T T T"
Cs -4.871 -3.745 -9.289
Br 0.000 0.000 0.000
Ag -3.247 -2.497 -6.193
Cs -1.624 -1.248 -3.096
```

Computed properties:
D(E_F) = 0.0 states/eV/f.u.
SG = Fm-3m
V = 157.55 Å³ per cell
total DFT energy (no corrections) = -10.1 eV per cell
M_tot = 0.000 μB/f.u.
energy relative to the elements, uncorrected = -749 meV per atom

=====

First-principles (GGA-PBEsol) data for a relaxed TaAgW2 crystal, as listed in Alexandria.

```
4
Lattice="2.693 0.000 0.009 0.000 4.516 0.000 -1.034 0.000 5.370" Properties=species:S:1:pos:R:3 pbc="T T T"
Ag 0.875 0.000 2.704
Ta -0.152 2.258 4.057
W 1.800 2.258 1.258
W 2.659 0.000 0.057
```

Computed properties:
D(E_F) = 3.1 states/eV/f.u.
SG = Pm
V = 65.35 Å³ per cell
energy of formation = 0.343 eV/atom
total DFT energy (no corrections) = -42.1 eV per cell
M_tot = 0.000 μB/f.u.
offset from the most stable computed form = 0 meV per atom

=====

First-principles (GGA-PBEsol) data for a relaxed TmAlCo crystal, as listed in Alexandria.

```
12
Lattice="5.221 -0.011 0.000 -2.548 4.557 0.000 0.000 0.000 8.226" Properties=species:S:1:pos:R:3 pbc="T T T"
Tm 2.623 1.517 1.671
Al -0.002 1.546 0.000
Co 2.678 2.895 4.113
Al -2.519 4.540 5.965
Tm 2.623 1.517 6.555
Co 1.446 0.798 4.113
Tm 0.008 3.054 2.686
Co -1.261 3.800 0.000
Tm 0.008 3.054 5.540
Al 1.321 3.796 0.000
Al -2.519 4.540 2.261
Co 3.866 0.786 4.113
```

Computed properties:
D(E_F) = 2.8 states/eV/f.u.
SG = Amm2
V = 195.48 Å³ per cell
energy of formation = -0.420 eV/atom
total DFT energy (no corrections) = -72.0 eV per cell
M_tot = 0.000 μB/f.u.

=====

Repeat the second record exactly.
First-principles (GGA-PBEsol) data for a relaxed Cs2AgBr crystal, as listed in Alexandria.

```
4
Lattice="-4.085 1.257 -4.300 0.955 -1.804 -5.709 -3.365 -4.447 -2.377" Properties=species:S:1:pos:R:3 pbc="T T T"
Cs -4.871 -3.745 -9.289
Br 0.000 0.000 0.000
Ag -3.247 -2.497 -6.193
Cs -1.624 -1.248 -3.096
```

Computed properties:
D(E_F) = 0.0 states/eV/f.u.
SG = Fm-3m
V = 157.55 Å³ per cell
total DFT energy (no corrections) = -10.1 eV per cell
M_tot = 0.000 μB/f.u.
energy relative to the elements, uncorrected = -749 meV per atom

=====

total DFT energy (no corrections) of number 4 (TmAlCo)? -72.0 eV per cell